! GGA-PBEsol Tc2NiOs, relaxed; values from VASP
&SYSTEM
  ibrav = 0, nat = 4, ntyp = 3
/
ATOMIC_SPECIES
Tc 98.00 Tc.upf
Ni 58.69 Ni.upf
Os 190.23 Os.upf
CELL_PARAMETERS angstrom
3.077 0.000 0.000
0.000 3.077 0.000
0.000 0.000 5.583
ATOMIC_POSITIONS crystal
Tc 0.000 0.000 0.218
Tc 0.000 0.000 0.782
Ni 0.500 0.500 0.000
Os 0.500 0.500 0.500
! excess energy over the best structure of this formula in the dataset = 326 meV/atom
! space group = No. 123
! energy relative to the elements = 1.06 eV/f.u.
! E_tot = -9.96 eV per atom


! GGA-PBEsol ReAgRh2, relaxed; values from VASP
&SYSTEM
  ibrav = 0, nat = 8, ntyp = 3
/
ATOMIC_SPECIES
Re 186.21 Re.upf
Ag 107.87 Ag.upf
Rh 102.91 Rh.upf
CELL_PARAMETERS angstrom
3.893 0.000 0.000
0.000 3.893 0.000
0.000 0.000 7.512
ATOMIC_POSITIONS crystal
Re 0.000 0.000 0.000
Re 0.500 0.500 0.500
Ag 0.000 0.000 0.500
Ag 0.500 0.500 0.000
Rh 0.000 0.500 0.250
Rh 0.000 0.500 0.750
Rh 0.500 0.000 0.250
Rh 0.500 0.000 0.750
! excess energy over the best structure of this formula in the dataset = 0 meV/atom
! space group = No. 139
! energy relative to the elements = 0.99 eV/f.u.
! E_tot = -7.98 eV per atom


! GGA-PBEsol CsSbI2O, relaxed; values from VASP
&SYSTEM
  ibrav = 0, nat = 5, ntyp = 4
/
ATOMIC_SPECIES
Cs 132.91 Cs.upf
Sb 121.76 Sb.upf
I 126.90 I.upf
O 16.00 O.upf
CELL_PARAMETERS angstrom
6.301 0.000 0.000
0.000 6.301 0.000
0.000 0.000 4.167
ATOMIC_POSITIONS crystal
Cs 0.000 0.000 0.000
Sb 0.500 0.500 0.500
I 0.000 0.500 0.500
I 0.500 0.000 0.500
O 0.500 0.500 0.000
! excess energy over the best structure of this formula in the dataset = 0 meV/atom
! space group = No. 123
! E_form (uncorrected) = -89.8 kJ per mole of atoms
! E_tot = -3.79 eV per atom


! GGA-PBEsol CuTc3O, relaxed; values from VASP
&SYSTEM
  ibrav = 0, nat = 5, ntyp = 3
/
ATOMIC_SPECIES
Cu 63.55 Cu.upf
Tc 98.00 Tc.upf
O 16.00 O.upf
CELL_PARAMETERS angstrom
4.399 0.000 0.000
0.000 4.399 0.000
0.000 0.000 4.399
ATOMIC_POSITIONS crystal
Cu 0.000 0.000 0.000
Tc 0.000 0.000 0.500
Tc 0.000 0.500 0.000
Tc 0.500 0.000 0.000
O 0.500 0.500 0.500
! space group = No. 221
! E_form (uncorrected) = 244.3 kJ per mole of atoms
! E_tot = -6.14 eV per atom


! GGA-PBEsol LiHg2Cl, relaxed; values from VASP
&SYSTEM
  ibrav = 0, nat = 4, ntyp = 3
/
ATOMIC_SPECIES
Li 6.94 Li.upf
Hg 200.59 Hg.upf
Cl 35.45 Cl.upf
CELL_PARAMETERS angstrom
3.392 0.000 0.000
0.000 3.379 0.000
-1.685 0.000 8.633
ATOMIC_POSITIONS crystal
Li 0.000 0.000 0.000
Hg 0.174 0.000 0.360
Hg 0.802 0.500 0.620
Cl 0.499 0.500 0.997
! excess energy over the best structure of this formula in the dataset = 0 meV/atom
! space group = No. 6
! E_form (uncorrected) = -73.5 kJ per mole of atoms
! E_tot = -2.04 eV per atom


! GGA-PBEsol RbGa3H, relaxed; values from VASP
&SYSTEM
  ibrav = 0, nat = 5, ntyp = 3
/
ATOMIC_SPECIES
Rb 85.47 Rb.upf
Ga 69.72 Ga.upf
H 1.01 H.upf
CELL_PARAMETERS angstrom
4.686 0.000 0.000
0.000 4.686 0.000
0.000 0.000 4.686
ATOMIC_POSITIONS crystal
Rb 0.000 0.000 0.000
Ga 0.000 0.500 0.500
Ga 0.500 0.000 0.500
Ga 0.500 0.500 0.000
H 0.500 0.500 0.500
! space group = No. 221
! E_tot = -2.42 eV per atom


! GGA-PBEsol InHg2, relaxed; values from VASP
&SYSTEM
  ibrav = 0, nat = 9, ntyp = 2
/
ATOMIC_SPECIES
In 114.82 In.upf
Hg 200.59 Hg.upf
CELL_PARAMETERS angstrom
8.650 0.000 0.000
-4.325 7.491 0.000
0.000 0.000 3.328
ATOMIC_POSITIONS crystal
In 0.000 0.000 0.000
In 0.333 0.667 0.500
In 0.667 0.333 0.500
Hg 0.000 0.367 0.000
Hg 0.000 0.699 0.500
Hg 0.301 0.301 0.500
Hg 0.367 0.000 0.000
Hg 0.633 0.633 0.000
Hg 0.699 0.000 0.500
! space group = No. 189
! energy relative to the elements = -0.01 eV/f.u.
! E_tot = -1.38 eV per atom


! GGA-PBEsol Mg14MnCrO16, relaxed; values from VASP
&SYSTEM
  ibrav = 0, nat = 32, ntyp = 4
/
ATOMIC_SPECIES
Mg 24.30 Mg.upf
Mn 54.94 Mn.upf
Cr 52.00 Cr.upf
O 16.00 O.upf
CELL_PARAMETERS angstrom
8.479 0.000 0.000
0.000 8.479 0.000
0.000 0.000 4.248
ATOMIC_POSITIONS crystal
Mg 0.000 0.250 0.000
Mg 0.000 0.500 0.500
Mg 0.000 0.750 0.000
Mg 0.249 0.500 0.000
Mg 0.250 0.000 0.000
Mg 0.250 0.250 0.500
Mg 0.250 0.750 0.500
Mg 0.500 0.000 0.500
Mg 0.500 0.249 0.000
Mg 0.500 0.751 0.000
Mg 0.750 0.000 0.000
Mg 0.750 0.250 0.500
Mg 0.750 0.750 0.500
Mg 0.751 0.500 0.000
Mn 0.500 0.500 0.500
Cr 0.000 0.000 0.500
O 0.000 0.000 0.000
O 0.000 0.252 0.500
O 0.000 0.500 0.000
O 0.000 0.748 0.500
O 0.244 0.500 0.500
O 0.250 0.250 0.000
O 0.250 0.750 0.000
O 0.252 0.000 0.500
O 0.500 0.000 0.000
O 0.500 0.244 0.500
O 0.500 0.500 0.000
O 0.500 0.756 0.500
O 0.748 0.000 0.500
O 0.750 0.250 0.000
O 0.750 0.750 0.000
O 0.756 0.500 0.500
! excess energy over the best structure of this formula in the dataset = 3 meV/atom
! space group = No. 123
! E_form (uncorrected) = -243.9 kJ per mole of atoms
! E_tot = -6.53 eV per atom


! GGA-PBEsol Ca2FeIrO6, relaxed; values from VASP
&SYSTEM
  ibrav = 0, nat = 20, ntyp = 4
/
ATOMIC_SPECIES
Ca 40.08 Ca.upf
Fe 55.84 Fe.upf
Ir 192.22 Ir.upf
O 16.00 O.upf
CELL_PARAMETERS angstrom
5.250 0.000 0.000
0.000 5.440 0.000
-5.245 0.000 7.502
ATOMIC_POSITIONS crystal
Ca 0.234 0.060 0.250
Ca 0.234 0.440 0.750
Ca 0.766 0.560 0.250
Ca 0.766 0.940 0.750
Fe 0.500 0.000 0.000
Fe 0.500 0.500 0.500
Ir 0.000 0.000 0.500
Ir 0.000 0.500 0.000
O 0.156 0.195 0.953
O 0.156 0.305 0.453
O 0.261 0.709 0.952
O 0.261 0.791 0.452
O 0.351 0.022 0.757
O 0.351 0.478 0.257
O 0.649 0.522 0.743
O 0.649 0.978 0.243
O 0.739 0.209 0.548
O 0.739 0.291 0.048
O 0.844 0.695 0.547
O 0.844 0.805 0.047
! space group = No. 14
! E_form (uncorrected) = -179.6 kJ per mole of atoms
! E_tot = -7.32 eV per atom


! GGA-PBEsol La3Sc, relaxed; values from VASP
&SYSTEM
  ibrav = 0, nat = 4, ntyp = 2
/
ATOMIC_SPECIES
La 138.91 La.upf
Sc 44.96 Sc.upf
CELL_PARAMETERS angstrom
3.552 0.000 0.000
0.000 4.978 0.000
0.000 0.000 7.011
ATOMIC_POSITIONS crystal
La 0.000 0.000 0.000
La 0.500 0.500 0.261
La 0.500 0.500 0.739
Sc 0.000 0.000 0.500
! space group = No. 47
! energy relative to the elements = 0.15 eV/f.u.
! E_tot = -5.62 eV per atom


! GGA-PBEsol Rb2TcOs, relaxed; values from VASP
&SYSTEM
  ibrav = 0, nat = 16, ntyp = 3
/
ATOMIC_SPECIES
Rb 85.47 Rb.upf
Tc 98.00 Tc.upf
Os 190.23 Os.upf
CELL_PARAMETERS angstrom
7.590 0.000 0.000
0.000 7.590 0.000
0.000 0.000 7.590
ATOMIC_POSITIONS crystal
Rb 0.250 0.250 0.250
Rb 0.250 0.250 0.750
Rb 0.250 0.750 0.250
Rb 0.250 0.750 0.750
Rb 0.750 0.250 0.250
Rb 0.750 0.250 0.750
Rb 0.750 0.750 0.250
Rb 0.750 0.750 0.750
Tc 0.000 0.000 0.000
Tc 0.000 0.500 0.500
Tc 0.500 0.000 0.500
Tc 0.500 0.500 0.000
Os 0.000 0.000 0.500
Os 0.000 0.500 0.000
Os 0.500 0.000 0.000
Os 0.500 0.500 0.500
! space group = No. 225
! energy relative to the elements = 11.05 eV/f.u.
! E_tot = -3.62 eV per atom


! GGA-PBEsol IClO, relaxed; values from VASP
&SYSTEM
  ibrav = 0, nat = 18, ntyp = 3
/
ATOMIC_SPECIES
I 126.90 I.upf
Cl 35.45 Cl.upf
O 16.00 O.upf
CELL_PARAMETERS angstrom
7.780 4.492 2.172
-7.780 4.492 2.172
0.000 -8.984 2.172
ATOMIC_POSITIONS crystal
I 0.247 0.721 0.586
I 0.279 0.414 0.753
I 0.414 0.753 0.279
I 0.586 0.247 0.721
I 0.721 0.586 0.247
I 0.753 0.279 0.414
Cl 0.072 0.119 0.363
Cl 0.119 0.363 0.072
Cl 0.363 0.072 0.119
Cl 0.637 0.928 0.881
Cl 0.881 0.637 0.928
Cl 0.928 0.881 0.637
O 0.139 0.520 0.693
O 0.307 0.861 0.480
O 0.480 0.307 0.861
O 0.520 0.693 0.139
O 0.693 0.139 0.520
O 0.861 0.480 0.307
! space group = No. 148
! E_form (uncorrected) = -16.8 kJ per mole of atoms
! E_tot = -3.18 eV per atom


Copy entry 12 word for word.
! GGA-PBEsol IClO, relaxed; values from VASP
&SYSTEM
  ibrav = 0, nat = 18, ntyp = 3
/
ATOMIC_SPECIES
I 126.90 I.upf
Cl 35.45 Cl.upf
O 16.00 O.upf
CELL_PARAMETERS angstrom
7.780 4.492 2.172
-7.780 4.492 2.172
0.000 -8.984 2.172
ATOMIC_POSITIONS crystal
I 0.247 0.721 0.586
I 0.279 0.414 0.753
I 0.414 0.753 0.279
I 0.586 0.247 0.721
I 0.721 0.586 0.247
I 0.753 0.279 0.414
Cl 0.072 0.119 0.363
Cl 0.119 0.363 0.072
Cl 0.363 0.072 0.119
Cl 0.637 0.928 0.881
Cl 0.881 0.637 0.928
Cl 0.928 0.881 0.637
O 0.139 0.520 0.693
O 0.307 0.861 0.480
O 0.480 0.307 0.861
O 0.520 0.693 0.139
O 0.693 0.139 0.520
O 0.861 0.480 0.307
! space group = No. 148
! E_form (uncorrected) = -16.8 kJ per mole of atoms
! E_tot = -3.18 eV per atom